This record from the Alexandria database describes a geometry-optimized Cs2Rb structure. The functional is PBE-GGA.

Cell: 5.792 5.792 18.857 Å, 90.00 90.00 90.00°
Sites, in units of the cell vectors:
1 Cs 0.250 0.250 0.089
2 Cs 0.250 0.250 0.732
3 Cs 0.750 0.750 0.268
4 Cs 0.750 0.750 0.911
5 Rb 0.250 0.250 0.429
6 Rb 0.750 0.750 0.571

Calculated values
symmetry: P4/nmm
E_form: 2.4 meV per atom
D(E_F): 3.15 states/eV/f.u.

This record from the Alexandria database describes a geometry-optimized Cs5Rb3 structure. The functional is PBE-GGA.

Cell: 5.913 5.913 23.765 Å, 90.00 90.00 90.00°
Sites, in units of the cell vectors:
1 Cs 0.000 0.000 0.000
2 Cs 0.000 0.000 0.241
3 Cs 0.000 0.000 0.759
4 Cs 0.500 0.500 0.378
5 Cs 0.500 0.500 0.622
6 Rb 0.000 0.000 0.500
7 Rb 0.500 0.500 0.120
8 Rb 0.500 0.500 0.880

Calculated values
symmetry: P4/mmm
E_form: 0.6 meV per atom
D(E_F): 7.85 states/eV/f.u.

This record from the Alexandria database describes a geometry-optimized Cs4Rb3 structure. The functional is PBE-GGA.

Cell: 8.317 8.317 12.878 Å, 109.21 109.21 60.25°
Sites, in units of the cell vectors:
1 Cs 0.069 0.069 0.210
2 Cs 0.217 0.217 0.647
3 Cs 0.783 0.783 0.353
4 Cs 0.931 0.931 0.790
5 Rb 0.357 0.357 0.073
6 Rb 0.500 0.500 0.500
7 Rb 0.643 0.643 0.927

Calculated values
symmetry: C2/m
E_form: 3.8 meV per atom
D(E_F): 7.87 states/eV/f.u.

This record from the Alexandria database describes a geometry-optimized CsRb2 structure. The functional is PBE-GGA.

Cell: 9.770 9.770 9.770 Å, 124.66 124.66 82.10°
Sites, in units of the cell vectors:
1 Cs 0.375 0.625 0.750
2 Cs 0.625 0.375 0.250
3 Rb 0.032 0.282 0.750
4 Rb 0.282 0.032 0.250
5 Rb 0.718 0.968 0.750
6 Rb 0.968 0.718 0.250

Calculated values
symmetry: I4_1/amd
E_form: 61.0 meV per atom
D(E_F): 3.00 states/eV/f.u.

This record from the Alexandria database describes a geometry-optimized Cs13Rb2 structure. The functional is PBE-GGA.

Cell: 15.016 15.016 15.016 Å, 55.68 55.68 55.68°
Sites, in units of the cell vectors:
1 Cs 0.000 0.000 0.000
2 Cs 0.020 0.020 0.637
3 Cs 0.020 0.637 0.020
4 Cs 0.238 0.238 0.604
5 Cs 0.238 0.604 0.238
6 Cs 0.363 0.980 0.980
7 Cs 0.396 0.762 0.762
8 Cs 0.604 0.238 0.238
9 Cs 0.637 0.020 0.020
10 Cs 0.762 0.396 0.762
11 Cs 0.762 0.762 0.396
12 Cs 0.980 0.363 0.980
13 Cs 0.980 0.980 0.363
14 Rb 0.237 0.237 0.237
15 Rb 0.763 0.763 0.763

Calculated values
symmetry: R-3m
E_form: 97.6 meV per atom
D(E_F): 17.08 states/eV/f.u.

This record from the Alexandria database describes a geometry-optimized Cs8Rb5 structure. The functional is PBE-GGA.

Cell: 10.475 10.475 17.614 Å, 114.98 114.98 56.73°
Sites, in units of the cell vectors:
1 Cs 0.195 0.195 0.089
2 Cs 0.235 0.235 0.741
3 Cs 0.246 0.751 0.771
4 Cs 0.249 0.754 0.229
5 Cs 0.751 0.246 0.771
6 Cs 0.754 0.249 0.229
7 Cs 0.765 0.765 0.259
8 Cs 0.805 0.805 0.911
9 Rb 0.250 0.750 0.500
10 Rb 0.253 0.253 0.457
11 Rb 0.500 0.500 0.000
12 Rb 0.747 0.747 0.543
13 Rb 0.750 0.250 0.500

Calculated values
symmetry: C2/m
E_form: 35.7 meV per atom
D(E_F): 14.38 states/eV/f.u.

This record from the Alexandria database describes a geometry-optimized Cs4Rb5 structure. The functional is PBE-GGA.

Cell: 12.870 12.870 12.870 Å, 92.81 92.81 154.40°
Sites, in units of the cell vectors:
1 Cs 0.000 0.326 0.326
2 Cs 0.000 0.674 0.674
3 Cs 0.326 0.000 0.326
4 Cs 0.674 0.000 0.674
5 Rb 0.000 0.000 0.000
6 Rb 0.333 0.333 0.666
7 Rb 0.333 0.667 0.000
8 Rb 0.667 0.333 0.000
9 Rb 0.667 0.667 0.334

Calculated values
symmetry: I4/mmm
E_form: 7.3 meV per atom
D(E_F): 9.51 states/eV/f.u.

This record from the Alexandria database describes a geometry-optimized CsRb2 structure. The functional is PBE-GGA.

Cell: 9.990 9.990 9.990 Å, 147.20 147.20 47.06°
Sites, in units of the cell vectors:
1 Cs 0.000 0.000 0.000
2 Rb 0.326 0.326 0.000
3 Rb 0.674 0.674 0.000

Calculated values
symmetry: I4/mmm
E_form: 3.2 meV per atom
D(E_F): 2.79 states/eV/f.u.

This record from the Alexandria database describes a geometry-optimized Cs2Rb3 structure. The functional is PBE-GGA.

Cell: 10.106 10.106 10.106 Å, 87.74 87.74 87.74°
Sites, in units of the cell vectors:
1 Cs 0.124 0.124 0.124
2 Cs 0.376 0.376 0.376
3 Cs 0.624 0.624 0.624
4 Cs 0.876 0.876 0.876
5 Rb 0.074 0.750 0.426
6 Rb 0.250 0.574 0.926
7 Rb 0.426 0.074 0.750
8 Rb 0.574 0.926 0.250
9 Rb 0.750 0.426 0.074
10 Rb 0.926 0.250 0.574

Calculated values
symmetry: R-3c
E_form: 65.6 meV per atom
D(E_F): 5.14 states/eV/f.u.

This record from the Alexandria database describes a geometry-optimized Cs2Rb13 structure. The functional is PBE-GGA.

Cell: 14.053 14.053 14.053 Å, 55.63 55.63 55.63°
Sites, in units of the cell vectors:
1 Cs 0.241 0.241 0.241
2 Cs 0.759 0.759 0.759
3 Rb 0.000 0.000 0.000
4 Rb 0.014 0.014 0.646
5 Rb 0.014 0.646 0.014
6 Rb 0.240 0.240 0.612
7 Rb 0.240 0.612 0.240
8 Rb 0.354 0.986 0.986
9 Rb 0.388 0.760 0.760
10 Rb 0.612 0.240 0.240
11 Rb 0.646 0.014 0.014
12 Rb 0.760 0.388 0.760
13 Rb 0.760 0.760 0.388
14 Rb 0.986 0.354 0.986
15 Rb 0.986 0.986 0.354

Calculated values
symmetry: R-3m
E_form: 98.7 meV per atom
D(E_F): 15.51 states/eV/f.u.

Question: Which formula does entry 6 have?
Answer: Cs8Rb5

Question: Among the records above, which one has the lowest E_form?
Answer: Cs5Rb3

Question: The lowest D(E_F) belongs to which entry?
Answer: number 8